1.
# TlV4O10 | the Alexandria database | PBEsol | optimized geometry
data_TlV4O10
_space_group_name_H-M_alt 'C 1 2/m 1'
_space_group_IT_number 12
_space_group_name_Hall '-C 2y'
_cell_length_a 11.370
_cell_length_b 3.662
_cell_length_c 9.691
_cell_angle_alpha 90.00
_cell_angle_beta 100.39
_cell_angle_gamma 90.00
loop_
_atom_site_label
_atom_site_fract_x
_atom_site_fract_y
_atom_site_fract_z
Tl1 0.000 0.000 0.000
V1 0.092 0.500 0.657
V2 0.207 0.500 0.340
O1 0.067 0.500 0.404
O2 0.100 0.500 0.824
O3 0.117 0.000 0.625
O4 0.162 0.500 0.173
O5 0.239 0.000 0.383
# Uncorrected formation energy: -3176.6 kJ/mol of formula units

***

2.
# Tl2PtI6 | the Alexandria database | PBEsol | optimized geometry
data_Tl2PtI6
_space_group_name_H-M_alt 'P 4/m n c'
_space_group_IT_number 128
_space_group_name_Hall '-P 4 2n'
_cell_length_a 7.256
_cell_length_b 7.256
_cell_length_c 11.723
_cell_angle_alpha 90.00
_cell_angle_beta 90.00
_cell_angle_gamma 90.00
loop_
_atom_site_label
_atom_site_fract_x
_atom_site_fract_y
_atom_site_fract_z
Tl1 0.000 0.500 0.250
Pt1 0.000 0.000 0.000
I1 0.000 0.000 0.227
I2 0.189 0.301 0.500
# Uncorrected formation energy: -310.2 kJ/mol of formula units

***

3.
# InTcAu2Cl | the Alexandria database | PBEsol | optimized geometry
data_InTcAu2Cl
_space_group_name_H-M_alt 'P 4/m m m'
_space_group_IT_number 123
_space_group_name_Hall '-P 4 2'
_cell_length_a 4.661
_cell_length_b 4.661
_cell_length_c 5.336
_cell_angle_alpha 90.00
_cell_angle_beta 90.00
_cell_angle_gamma 90.00
loop_
_atom_site_label
_atom_site_fract_x
_atom_site_fract_y
_atom_site_fract_z
In1 0.000 0.000 0.000
Tc1 0.500 0.500 0.000
Au1 0.000 0.500 0.500
Cl1 0.000 0.000 0.500
# Uncorrected formation energy: 694.3 kJ/mol of formula units

***

4.
# Sr3Au | the Alexandria database | PBEsol | optimized geometry
data_Sr3Au
_space_group_name_H-M_alt 'P -6 m 2'
_space_group_IT_number 187
_space_group_name_Hall 'P -6 2'
_cell_length_a 4.2158
_cell_length_b 4.2158
_cell_length_c 10.9250
_cell_angle_alpha 90.00
_cell_angle_beta 90.00
_cell_angle_gamma 120.00
loop_
_atom_site_label
_atom_site_fract_x
_atom_site_fract_y
_atom_site_fract_z
Sr1 0.0000 0.0000 0.0000
Sr2 0.3333 0.6667 0.3215
Au1 0.0000 0.0000 0.5000
# Energy relative to the elements: -0.304 eV/atom

***

5.
# LiNiBr | the Alexandria database | PBEsol | optimized geometry
data_LiNiBr
_space_group_name_H-M_alt 'F -4 3 m'
_space_group_IT_number 216
_space_group_name_Hall 'F -4 2 3'
_cell_length_a 5.684
_cell_length_b 5.684
_cell_length_c 5.684
_cell_angle_alpha 90.00
_cell_angle_beta 90.00
_cell_angle_gamma 90.00
loop_
_atom_site_label
_atom_site_fract_x
_atom_site_fract_y
_atom_site_fract_z
Li1 0.000 0.000 0.000
Ni1 0.250 0.250 0.750
Br1 0.250 0.250 0.250
# Uncorrected formation energy: 50.0 kJ/mol of formula units
# Energy relative to the lowest polymorph listed for this composition: 400.2 meV per atom

***

6.
# Ba2GaSbTe5 | the Alexandria database | PBEsol | optimized geometry
data_Ba2GaSbTe5
_space_group_name_H-M_alt 'P n m a'
_space_group_IT_number 62
_space_group_name_Hall '-P 2ac 2n'
_cell_length_a 13.457
_cell_length_b 9.547
_cell_length_c 9.717
_cell_angle_alpha 90.00
_cell_angle_beta 90.00
_cell_angle_gamma 90.00
loop_
_atom_site_label
_atom_site_fract_x
_atom_site_fract_y
_atom_site_fract_z
Ba1 0.176 0.007 0.122
Ga1 0.099 0.750 0.838
Sb1 0.027 0.750 0.477
Te1 0.011 0.250 0.945
Te2 0.058 0.531 0.679
Te3 0.211 0.250 0.394
Te4 0.224 0.750 0.379
# Uncorrected formation energy: -798.2 kJ/mol of formula units

***

7.
# LiV3O4 | the Alexandria database | PBEsol | optimized geometry
data_LiV3O4
_space_group_name_H-M_alt 'P 4/n m m'
_space_group_IT_number 129
_cell_length_a 4.110
_cell_length_b 4.110
_cell_length_c 8.168
_cell_angle_alpha 90.00
_cell_angle_beta 90.00
_cell_angle_gamma 90.00
loop_
_space_group_symop_operation_xyz
'x,y,z'
'-x,-y,-z'
'-y+1/2,x,z'
'y+1/2,-x,-z'
'-x+1/2,-y+1/2,z'
'x+1/2,y+1/2,-z'
'y,-x+1/2,z'
'-y,x+1/2,-z'
'x+1/2,-y,-z'
'-x+1/2,y,z'
'-y,-x,-z'
'y,x,z'
'-x,y+1/2,-z'
'x,-y+1/2,z'
'y+1/2,x+1/2,-z'
'-y+1/2,-x+1/2,z'
loop_
_atom_site_label
_atom_site_fract_x
_atom_site_fract_y
_atom_site_fract_z
Li1 0.250 0.250 0.247
V1 0.250 0.250 0.739
V2 0.250 0.750 0.000
V3 0.250 0.750 0.500
O1 0.250 0.250 0.487
O2 0.250 0.250 0.999
O3 0.250 0.750 0.248
# Uncorrected formation energy: -1541.0 kJ/mol of formula units
# Energy relative to the lowest polymorph listed for this composition: 14.0 meV per atom

***

8.
# ZnReRu | the Alexandria database | PBEsol | optimized geometry
data_ZnReRu
_space_group_name_H-M_alt 'F -4 3 m'
_space_group_IT_number 216
_space_group_name_Hall 'F -4 2 3'
_cell_length_a 5.689
_cell_length_b 5.689
_cell_length_c 5.689
_cell_angle_alpha 90.00
_cell_angle_beta 90.00
_cell_angle_gamma 90.00
loop_
_atom_site_label
_atom_site_fract_x
_atom_site_fract_y
_atom_site_fract_z
Zn1 0.000 0.000 0.000
Re1 0.250 0.250 0.750
Ru1 0.250 0.250 0.250
# Energy relative to the elements: 1.190 eV/atom

***

9.
# YCd2Sb | the Alexandria database | PBEsol | optimized geometry
data_YCd2Sb
_space_group_name_H-M_alt 'R 3 m'
_space_group_IT_number 160
_space_group_name_Hall 'R 3 -2"'
_cell_length_a 3.3960
_cell_length_b 3.3960
_cell_length_c 29.7637
_cell_angle_alpha 90.00
_cell_angle_beta 90.00
_cell_angle_gamma 120.00
loop_
_atom_site_label
_atom_site_fract_x
_atom_site_fract_y
_atom_site_fract_z
Y1 0.0000 0.0000 0.0000
Cd1 0.0000 0.0000 0.2475
Cd2 0.0000 0.0000 0.5042
Sb1 0.0000 0.0000 0.7511
# Uncorrected formation energy: -54.0 kJ/mol of formula units

***

10.
# AlPtW4 | the Alexandria database | PBEsol | optimized geometry
data_AlPtW4
_space_group_name_H-M_alt 'F -4 3 m'
_space_group_IT_number 216
_space_group_name_Hall 'F -4 2 3'
_cell_length_a 7.348
_cell_length_b 7.348
_cell_length_c 7.348
_cell_angle_alpha 90.00
_cell_angle_beta 90.00
_cell_angle_gamma 90.00
loop_
_atom_site_label
_atom_site_fract_x
_atom_site_fract_y
_atom_site_fract_z
Al1 0.000 0.000 0.000
Pt1 0.250 0.250 0.250
W1 0.126 0.126 0.626
# Energy relative to the elements: 0.492 eV/atom

***

11.
# Sr3CoRuO7 | the Alexandria database | PBEsol | optimized geometry
data_Sr3CoRuO7
_space_group_name_H-M_alt 'I 4 m m'
_space_group_IT_number 107
_space_group_name_Hall 'I 4 -2'
_cell_length_a 3.787
_cell_length_b 3.787
_cell_length_c 20.518
_cell_angle_alpha 90.00
_cell_angle_beta 90.00
_cell_angle_gamma 90.00
loop_
_atom_site_label
_atom_site_fract_x
_atom_site_fract_y
_atom_site_fract_z
Sr1 0.000 0.000 0.000
Sr2 0.000 0.000 0.171
Sr3 0.000 0.000 0.800
Co1 0.000 0.000 0.591
Ru1 0.000 0.000 0.394
O1 0.000 0.000 0.294
O2 0.000 0.000 0.491
O3 0.000 0.000 0.683
O4 0.000 0.500 0.086
O5 0.000 0.500 0.392
# Uncorrected formation energy: -2322.5 kJ/mol of formula units

***

12.
# Hf2NbHPd | the Alexandria database | PBEsol | optimized geometry
data_Hf2NbHPd
_space_group_name_H-M_alt 'P 4/m m m'
_space_group_IT_number 123
_space_group_name_Hall '-P 4 2'
_cell_length_a 5.238
_cell_length_b 5.238
_cell_length_c 3.162
_cell_angle_alpha 90.00
_cell_angle_beta 90.00
_cell_angle_gamma 90.00
loop_
_atom_site_label
_atom_site_fract_x
_atom_site_fract_y
_atom_site_fract_z
Hf1 0.000 0.500 0.000
Nb1 0.000 0.000 0.500
H1 0.500 0.500 0.500
Pd1 0.500 0.500 0.000
# Total DFT energy (no corrections): -38.975 eV/f.u.